Entry 1:
Computed, not measured: a geometry-optimized YHo6Tm12 structure at the PBE-GGA level of DFT. Values from VASP.

```
&SYSTEM
  ibrav = 0, nat = 19, ntyp = 3
/
ATOMIC_SPECIES
Y 88.91 Y.upf
Ho 164.93 Ho.upf
Tm 168.93 Tm.upf
ATOMIC_POSITIONS crystal
Y 0.000 0.000 0.000
Ho 0.269 0.685 0.685
Ho 0.315 0.315 0.731
Ho 0.315 0.731 0.315
Ho 0.685 0.269 0.685
Ho 0.685 0.685 0.269
Ho 0.731 0.315 0.315
Tm 0.111 0.500 0.889
Tm 0.111 0.889 0.500
Tm 0.136 0.356 0.356
Tm 0.356 0.136 0.356
Tm 0.356 0.356 0.136
Tm 0.500 0.111 0.889
Tm 0.500 0.889 0.111
Tm 0.644 0.644 0.864
Tm 0.644 0.864 0.644
Tm 0.864 0.644 0.644
Tm 0.889 0.111 0.500
Tm 0.889 0.500 0.111
CELL_PARAMETERS angstrom
7.438 4.294 3.319
-7.438 4.294 3.319
0.000 -8.588 3.319
```

Computed properties:
- raw total energy (eV/cell) = -79.0


Entry 2:
Computed, not measured: a geometry-optimized YHo5Tm12 structure at the PBE-GGA level of DFT. Values from VASP.

```
&SYSTEM
  ibrav = 0, nat = 18, ntyp = 3
/
ATOMIC_SPECIES
Y 88.91 Y.upf
Ho 164.93 Ho.upf
Tm 168.93 Tm.upf
ATOMIC_POSITIONS crystal
Y 0.000 0.000 0.000
Ho 0.167 0.833 0.500
Ho 0.333 0.667 0.000
Ho 0.500 0.500 0.500
Ho 0.667 0.333 0.000
Ho 0.833 0.167 0.500
Tm 0.032 0.698 0.096
Tm 0.112 0.445 0.334
Tm 0.220 0.220 0.665
Tm 0.302 0.968 0.904
Tm 0.368 0.368 0.096
Tm 0.445 0.112 0.334
Tm 0.555 0.888 0.666
Tm 0.632 0.632 0.904
Tm 0.698 0.032 0.096
Tm 0.780 0.780 0.335
Tm 0.888 0.555 0.666
Tm 0.968 0.302 0.904
CELL_PARAMETERS angstrom
4.760 -8.269 0.000
4.760 8.269 0.000
-3.186 0.000 7.581
```

Computed properties:
- raw total energy (eV/cell) = -75.2


Entry 3:
Computed, not measured: a geometry-optimized Y10HoTm4 structure at the PBE-GGA level of DFT. Values from VASP.

```
&SYSTEM
  ibrav = 0, nat = 15, ntyp = 3
/
ATOMIC_SPECIES
Y 88.91 Y.upf
Ho 164.93 Ho.upf
Tm 168.93 Tm.upf
ATOMIC_POSITIONS crystal
Y 0.049 0.349 0.900
Y 0.149 0.049 0.700
Y 0.250 0.750 0.500
Y 0.349 0.450 0.300
Y 0.450 0.149 0.100
Y 0.550 0.851 0.900
Y 0.651 0.550 0.700
Y 0.750 0.250 0.500
Y 0.851 0.951 0.300
Y 0.951 0.651 0.100
Ho 0.500 0.500 0.000
Tm 0.100 0.700 0.800
Tm 0.300 0.100 0.400
Tm 0.700 0.900 0.600
Tm 0.900 0.300 0.200
CELL_PARAMETERS angstrom
-6.053 6.053 3.828
6.053 -6.053 3.828
6.053 6.053 -3.828
```

Computed properties:
- raw total energy (eV/cell) = -76.2


Entry 4:
Computed, not measured: a geometry-optimized Y8Ho4Tm3 structure at the PBE-GGA level of DFT. Values from VASP.

```
&SYSTEM
  ibrav = 0, nat = 15, ntyp = 3
/
ATOMIC_SPECIES
Y 88.91 Y.upf
Ho 164.93 Ho.upf
Tm 168.93 Tm.upf
ATOMIC_POSITIONS crystal
Y 0.143 0.857 0.000
Y 0.232 0.232 0.466
Y 0.235 0.235 0.990
Y 0.249 0.751 0.500
Y 0.751 0.249 0.500
Y 0.765 0.765 0.010
Y 0.768 0.768 0.534
Y 0.857 0.143 0.000
Ho 0.000 0.500 0.500
Ho 0.500 0.000 0.500
Ho 0.500 0.500 0.000
Ho 0.500 0.500 0.500
Tm 0.000 0.000 0.500
Tm 0.000 0.500 0.000
Tm 0.500 0.000 0.000
CELL_PARAMETERS angstrom
6.669 -6.396 0.000
6.669 6.396 0.000
-3.370 0.000 5.807
```

Computed properties:
- raw total energy (eV/cell) = -77.3


Entry 5:
Computed, not measured: a geometry-optimized Y3Ho6Tm structure at the PBE-GGA level of DFT. Values from VASP.

```
&SYSTEM
  ibrav = 0, nat = 20, ntyp = 3
/
ATOMIC_SPECIES
Y 88.91 Y.upf
Ho 164.93 Ho.upf
Tm 168.93 Tm.upf
ATOMIC_POSITIONS crystal
Y 0.109 0.891 0.500
Y 0.222 0.439 0.110
Y 0.439 0.222 0.610
Y 0.561 0.778 0.110
Y 0.778 0.561 0.610
Y 0.891 0.109 0.000
Ho 0.038 0.460 0.706
Ho 0.117 0.212 0.537
Ho 0.212 0.117 0.037
Ho 0.217 0.783 0.929
Ho 0.451 0.549 0.640
Ho 0.460 0.038 0.206
Ho 0.540 0.962 0.706
Ho 0.549 0.451 0.140
Ho 0.783 0.217 0.429
Ho 0.788 0.883 0.537
Ho 0.883 0.788 0.037
Ho 0.962 0.540 0.206
Tm 0.291 0.709 0.422
Tm 0.709 0.291 0.922
CELL_PARAMETERS angstrom
5.496 -9.466 0.000
5.496 9.466 0.000
0.000 0.000 6.136
```

Computed properties:
- raw total energy (eV/cell) = -99.8


Entry 6:
Computed, not measured: a geometry-optimized Y2HoTm7 structure at the PBE-GGA level of DFT. Values from VASP.

```
&SYSTEM
  ibrav = 0, nat = 10, ntyp = 3
/
ATOMIC_SPECIES
Y 88.91 Y.upf
Ho 164.93 Ho.upf
Tm 168.93 Tm.upf
ATOMIC_POSITIONS crystal
Y 0.208 0.792 0.000
Y 0.792 0.208 0.000
Ho 0.000 0.000 0.500
Tm 0.147 0.345 0.769
Tm 0.310 0.690 0.500
Tm 0.345 0.147 0.769
Tm 0.500 0.500 0.000
Tm 0.655 0.853 0.231
Tm 0.690 0.310 0.500
Tm 0.853 0.655 0.231
CELL_PARAMETERS angstrom
3.027 -14.713 0.000
3.027 14.713 0.000
-0.029 0.000 3.466
```

Computed properties:
- raw total energy (eV/cell) = -47.6


Entry 7:
Computed, not measured: a geometry-optimized Y4Ho4Tm structure at the PBE-GGA level of DFT. Values from VASP.

```
&SYSTEM
  ibrav = 0, nat = 9, ntyp = 3
/
ATOMIC_SPECIES
Y 88.91 Y.upf
Ho 164.93 Ho.upf
Tm 168.93 Tm.upf
ATOMIC_POSITIONS crystal
Y 0.135 0.474 0.268
Y 0.280 0.203 0.560
Y 0.720 0.797 0.440
Y 0.865 0.526 0.732
Ho 0.074 0.887 0.145
Ho 0.363 0.796 0.729
Ho 0.637 0.204 0.271
Ho 0.926 0.113 0.855
Tm 0.500 0.500 0.000
CELL_PARAMETERS angstrom
5.487 0.000 0.000
-0.001 6.755 0.000
-2.716 -3.134 7.739
```

Computed properties:
- raw total energy (eV/cell) = -47.6


Entry 8:
Computed, not measured: a geometry-optimized Y3HoTm structure at the PBE-GGA level of DFT. Values from VASP.

```
&SYSTEM
  ibrav = 0, nat = 10, ntyp = 3
/
ATOMIC_SPECIES
Y 88.91 Y.upf
Ho 164.93 Ho.upf
Tm 168.93 Tm.upf
ATOMIC_POSITIONS crystal
Y 0.136 0.250 0.099
Y 0.265 0.750 0.702
Y 0.333 0.250 0.501
Y 0.667 0.750 0.499
Y 0.735 0.250 0.298
Y 0.864 0.750 0.901
Ho 0.068 0.750 0.299
Ho 0.932 0.250 0.701
Tm 0.468 0.750 0.099
Tm 0.532 0.250 0.901
CELL_PARAMETERS angstrom
6.280 0.000 0.000
0.000 5.612 0.000
-3.138 0.000 9.062
```

Computed properties:
- raw total energy (eV/cell) = -56.9


Entry 9:
Computed, not measured: a geometry-optimized Y4Ho3Tm4 structure at the PBE-GGA level of DFT. Values from VASP.

```
&SYSTEM
  ibrav = 0, nat = 11, ntyp = 3
/
ATOMIC_SPECIES
Y 88.91 Y.upf
Ho 164.93 Ho.upf
Tm 168.93 Tm.upf
ATOMIC_POSITIONS crystal
Y 0.090 0.090 0.090
Y 0.233 0.233 0.733
Y 0.767 0.767 0.267
Y 0.910 0.910 0.910
Ho 0.364 0.364 0.364
Ho 0.500 0.500 0.000
Ho 0.636 0.636 0.636
Tm 0.045 0.045 0.545
Tm 0.180 0.180 0.180
Tm 0.820 0.820 0.820
Tm 0.955 0.955 0.455
CELL_PARAMETERS angstrom
17.878 -1.744 0.000
17.878 1.744 0.000
-0.862 0.000 5.498
```

Computed properties:
- raw total energy (eV/cell) = -56.7


Entry 10:
Computed, not measured: a geometry-optimized Y3Ho7Tm2 structure at the PBE-GGA level of DFT. Values from VASP.

```
&SYSTEM
  ibrav = 0, nat = 12, ntyp = 3
/
ATOMIC_SPECIES
Y 88.91 Y.upf
Ho 164.93 Ho.upf
Tm 168.93 Tm.upf
ATOMIC_POSITIONS crystal
Y 0.000 0.000 0.000
Y 0.151 0.151 0.151
Y 0.849 0.849 0.849
Ho 0.081 0.586 0.586
Ho 0.414 0.414 0.919
Ho 0.414 0.919 0.414
Ho 0.500 0.500 0.500
Ho 0.586 0.081 0.586
Ho 0.586 0.586 0.081
Ho 0.919 0.414 0.414
Tm 0.333 0.333 0.333
Tm 0.667 0.667 0.667
CELL_PARAMETERS angstrom
3.234 1.867 10.969
-3.234 1.867 10.969
0.000 -3.734 10.969
```

Computed properties:
- raw total energy (eV/cell) = -57.0


Entry 11:
Computed, not measured: a geometry-optimized Y6HoTm4 structure at the PBE-GGA level of DFT. Values from VASP.

```
&SYSTEM
  ibrav = 0, nat = 11, ntyp = 3
/
ATOMIC_SPECIES
Y 88.91 Y.upf
Ho 164.93 Ho.upf
Tm 168.93 Tm.upf
ATOMIC_POSITIONS crystal
Y 0.183 0.365 0.000
Y 0.183 0.817 0.000
Y 0.521 0.042 0.500
Y 0.521 0.479 0.500
Y 0.635 0.817 0.000
Y 0.958 0.479 0.500
Ho 0.000 0.000 0.500
Tm 0.319 0.159 0.000
Tm 0.333 0.667 0.500
Tm 0.841 0.159 0.000
Tm 0.841 0.681 0.000
CELL_PARAMETERS angstrom
10.838 0.000 0.000
-5.419 9.386 0.000
0.000 0.000 3.528
```

Computed properties:
- raw total energy (eV/cell) = -59.5


Entry 12:
Computed, not measured: a geometry-optimized Y4Ho3Tm4 structure at the PBE-GGA level of DFT. Values from VASP.

```
&SYSTEM
  ibrav = 0, nat = 11, ntyp = 3
/
ATOMIC_SPECIES
Y 88.91 Y.upf
Ho 164.93 Ho.upf
Tm 168.93 Tm.upf
ATOMIC_POSITIONS crystal
Y 0.000 0.000 0.046
Y 0.000 0.000 0.318
Y 0.000 0.000 0.682
Y 0.000 0.000 0.954
Ho 0.000 0.000 0.500
Ho 0.001 0.001 0.864
Ho 0.999 0.999 0.136
Tm 0.000 0.000 0.227
Tm 0.000 0.000 0.409
Tm 0.000 0.000 0.591
Tm 0.000 0.000 0.773
CELL_PARAMETERS angstrom
19.585 -1.764 0.000
19.585 1.764 0.000
-38.536 0.000 4.944
```

Computed properties:
- raw total energy (eV/cell) = -57.2


no.,V (Å³/cell)
1,636.1
2,596.8
3,561.1
4,495.4
5,638.5
6,308.7
7,286.8
8,319.4
9,342.8
10,397.4
11,358.9
12,341.6